Compound: Sc2AlRu2
Source: Alexandria
Functional: PBE-GGA
Structure: relaxed

Unit cell a=6.553 b=6.553 c=6.553 alpha=118.26 beta=81.97 gamma=131.77
Sites, in units of the cell vectors:
Sc (0.199, 0.152, 0.351)
Sc (0.301, 0.652, 0.953)
Sc (0.699, 0.348, 0.047)
Sc (0.801, 0.848, 0.649)
Al (0.250, 0.750, 0.500)
Al (0.750, 0.250, 0.500)
Ru (0.066, 0.809, 0.875)
Ru (0.434, 0.309, 0.743)
Ru (0.566, 0.691, 0.257)
Ru (0.934, 0.191, 0.125)

spin magnetization	0.00	μB per atom
calculated formation energy	-0.400	eV/atom

---

Compound: Sc4Al3Ru
Source: Alexandria
Functional: PBE-GGA
Structure: relaxed

Unit cell a=3.319 b=3.319 c=13.496 alpha=90.00 beta=90.00 gamma=90.00
Sites, in units of the cell vectors:
Sc (0.000, 0.000, 0.112)
Sc (0.000, 0.000, 0.370)
Sc (0.000, 0.000, 0.630)
Sc (0.000, 0.000, 0.888)
Al (0.500, 0.500, 0.241)
Al (0.500, 0.500, 0.500)
Al (0.500, 0.500, 0.759)
Ru (0.500, 0.500, 0.000)

spin magnetization	0.00	μB per atom
calculated formation energy	-0.532	eV/atom

---

Compound: Sc6Al3Ru
Source: Alexandria
Functional: PBE-GGA
Structure: relaxed

Unit cell a=8.313 b=4.807 c=10.536 alpha=90.00 beta=109.28 gamma=90.00
Sites, in units of the cell vectors:
Sc (0.038, 0.250, 0.417)
Sc (0.175, 0.750, 0.166)
Sc (0.270, 0.250, 0.006)
Sc (0.351, 0.750, 0.816)
Sc (0.364, 0.250, 0.337)
Sc (0.398, 0.250, 0.637)
Sc (0.602, 0.750, 0.363)
Sc (0.636, 0.750, 0.663)
Sc (0.649, 0.250, 0.184)
Sc (0.730, 0.750, 0.994)
Sc (0.825, 0.250, 0.834)
Sc (0.962, 0.750, 0.583)
Al (0.027, 0.750, 0.877)
Al (0.104, 0.250, 0.720)
Al (0.270, 0.750, 0.472)
Al (0.730, 0.250, 0.528)
Al (0.896, 0.750, 0.280)
Al (0.973, 0.250, 0.123)
Ru (0.458, 0.750, 0.094)
Ru (0.542, 0.250, 0.906)

spin magnetization	0.00	μB per atom
calculated formation energy	-0.420	eV/atom

---

Compound: Sc8AlRu2
Source: Alexandria
Functional: PBE-GGA
Structure: relaxed

Unit cell a=8.382 b=8.382 c=8.382 alpha=146.43 beta=57.64 gamma=134.59
Sites, in units of the cell vectors:
Sc (0.000, 0.000, 0.000)
Sc (0.248, 0.580, 0.668)
Sc (0.324, 0.436, 0.888)
Sc (0.409, 0.117, 0.292)
Sc (0.548, 0.436, 0.112)
Sc (0.723, 0.223, 0.500)
Sc (0.825, 0.117, 0.708)
Sc (0.912, 0.580, 0.332)
Al (0.293, 0.793, 0.500)
Ru (0.647, 0.816, 0.831)
Ru (0.986, 0.816, 0.169)

spin magnetization	0.00	μB per atom
calculated formation energy	-0.333	eV/atom

---

Compound: ScAlRu3
Source: Alexandria
Functional: PBE-GGA
Structure: relaxed

Unit cell a=4.444 b=4.444 c=4.444 alpha=90.00 beta=90.00 gamma=90.00
Sites, in units of the cell vectors:
Sc (0.000, 0.000, 0.000)
Al (0.500, 0.500, 0.500)
Ru (0.000, 0.500, 0.500)
Ru (0.500, 0.000, 0.500)
Ru (0.500, 0.500, 0.000)

spin magnetization	0.02	μB per atom
calculated formation energy	0.491	eV/atom

---

Compound: Sc2AlRu3
Source: Alexandria
Functional: PBE-GGA
Structure: relaxed

Unit cell a=4.376 b=13.269 c=3.215 alpha=90.00 beta=90.00 gamma=90.00
Sites, in units of the cell vectors:
Sc (0.000, 0.163, 0.000)
Sc (0.000, 0.837, 0.000)
Sc (0.500, 0.337, 0.000)
Sc (0.500, 0.663, 0.000)
Al (0.000, 0.500, 0.000)
Al (0.500, 0.000, 0.000)
Ru (0.000, 0.000, 0.500)
Ru (0.000, 0.340, 0.500)
Ru (0.000, 0.660, 0.500)
Ru (0.500, 0.160, 0.500)
Ru (0.500, 0.500, 0.500)
Ru (0.500, 0.840, 0.500)

spin magnetization	0.00	μB per atom
calculated formation energy	-0.562	eV/atom

---

Compound: Sc2Al2Ru
Source: Alexandria
Functional: PBE-GGA
Structure: relaxed

Unit cell a=6.719 b=6.719 c=4.070 alpha=90.00 beta=90.00 gamma=90.00
Sites, in units of the cell vectors:
Sc (0.172, 0.328, 0.000)
Sc (0.328, 0.828, 0.000)
Sc (0.672, 0.172, 0.000)
Sc (0.828, 0.672, 0.000)
Al (0.136, 0.636, 0.500)
Al (0.364, 0.136, 0.500)
Al (0.636, 0.864, 0.500)
Al (0.864, 0.364, 0.500)
Ru (0.000, 0.000, 0.500)
Ru (0.500, 0.500, 0.500)

spin magnetization	0.02	μB per atom
calculated formation energy	-0.378	eV/atom

---

Compound: Sc5Al2Ru
Source: Alexandria
Functional: PBE-GGA
Structure: relaxed

Unit cell a=6.029 b=11.506 c=4.640 alpha=90.00 beta=90.00 gamma=90.00
Sites, in units of the cell vectors:
Sc (0.000, 0.000, 0.000)
Sc (0.116, 0.278, 0.000)
Sc (0.165, 0.605, 0.500)
Sc (0.335, 0.105, 0.500)
Sc (0.384, 0.778, 0.000)
Sc (0.500, 0.500, 0.000)
Sc (0.616, 0.222, 0.000)
Sc (0.665, 0.895, 0.500)
Sc (0.835, 0.395, 0.500)
Sc (0.884, 0.722, 0.000)
Al (0.144, 0.860, 0.500)
Al (0.356, 0.360, 0.500)
Al (0.644, 0.640, 0.500)
Al (0.856, 0.140, 0.500)
Ru (0.000, 0.500, 0.000)
Ru (0.500, 0.000, 0.000)

spin magnetization	0.00	μB per atom
calculated formation energy	-0.412	eV/atom

---

Compound: ScAl10Ru2
Source: Alexandria
Functional: PBE-GGA
Structure: relaxed

Unit cell a=6.808 b=6.808 c=9.070 alpha=90.00 beta=90.00 gamma=96.53
Sites, in units of the cell vectors:
Sc (0.133, 0.867, 0.750)
Sc (0.867, 0.133, 0.250)
Al (0.146, 0.419, 0.750)
Al (0.150, 0.850, 0.099)
Al (0.150, 0.850, 0.401)
Al (0.217, 0.479, 0.250)
Al (0.225, 0.225, 0.000)
Al (0.225, 0.225, 0.500)
Al (0.375, 0.625, 0.545)
Al (0.375, 0.625, 0.955)
Al (0.419, 0.146, 0.250)
Al (0.479, 0.217, 0.750)
Al (0.521, 0.783, 0.250)
Al (0.581, 0.854, 0.750)
Al (0.625, 0.375, 0.045)
Al (0.625, 0.375, 0.455)
Al (0.775, 0.775, 0.000)
Al (0.775, 0.775, 0.500)
Al (0.783, 0.521, 0.750)
Al (0.850, 0.150, 0.599)
Al (0.850, 0.150, 0.901)
Al (0.854, 0.581, 0.250)
Ru (0.000, 0.500, 0.000)
Ru (0.000, 0.500, 0.500)
Ru (0.500, 0.000, 0.000)
Ru (0.500, 0.000, 0.500)

spin magnetization	0.00	μB per atom
calculated formation energy	-0.482	eV/atom

---

Compound: Sc3AlRu
Source: Alexandria
Functional: PBE-GGA
Structure: relaxed

Unit cell a=4.961 b=4.961 c=4.961 alpha=90.00 beta=90.00 gamma=90.00
Sites, in units of the cell vectors:
Sc (0.000, 0.000, 0.500)
Sc (0.000, 0.500, 0.000)
Sc (0.500, 0.000, 0.000)
Al (0.000, 0.000, 0.000)
Ru (0.500, 0.500, 0.500)

spin magnetization	0.00	μB per atom
calculated formation energy	0.851	eV/atom

---

Compound: Sc2AlRuSe
Source: Alexandria
Functional: PBE-GGA
Structure: relaxed

Unit cell a=4.972 b=4.972 c=4.681 alpha=90.00 beta=90.00 gamma=90.00
Sites, in units of the cell vectors:
Sc (0.000, 0.500, 0.000)
Sc (0.500, 0.000, 0.000)
Al (0.000, 0.000, 0.500)
Ru (0.500, 0.500, 0.000)
Se (0.500, 0.500, 0.500)

spin magnetization	0.00	μB per atom
E_form (uncorrected)	-0.01	eV per atom

---

Compound: Sc2Al2SiRu5
Source: Alexandria
Functional: PBE-GGA
Structure: relaxed

Unit cell a=9.794 b=9.794 c=3.193 alpha=90.00 beta=90.00 gamma=90.00
Sites, in units of the cell vectors:
Sc (0.168, 0.332, 0.000)
Sc (0.332, 0.832, 0.000)
Sc (0.668, 0.168, 0.000)
Sc (0.832, 0.668, 0.000)
Al (0.132, 0.632, 0.000)
Al (0.368, 0.132, 0.000)
Al (0.632, 0.868, 0.000)
Al (0.868, 0.368, 0.000)
Si (0.000, 0.000, 0.000)
Si (0.500, 0.500, 0.000)
Ru (0.000, 0.500, 0.500)
Ru (0.060, 0.810, 0.500)
Ru (0.190, 0.060, 0.500)
Ru (0.310, 0.560, 0.500)
Ru (0.440, 0.310, 0.500)
Ru (0.500, 0.000, 0.500)
Ru (0.560, 0.690, 0.500)
Ru (0.690, 0.440, 0.500)
Ru (0.810, 0.940, 0.500)
Ru (0.940, 0.190, 0.500)

spin magnetization	0.06	μB per atom
E_form (uncorrected)	-0.51	eV per atom

---

Compound: ScAl2SiRu
Source: Alexandria
Functional: PBE-GGA
Structure: relaxed

Unit cell a=5.202 b=5.202 c=4.432 alpha=90.00 beta=90.00 gamma=90.00
Sites, in units of the cell vectors:
Sc (0.000, 0.000, 0.000)
Al (0.000, 0.500, 0.000)
Al (0.500, 0.000, 0.000)
Si (0.500, 0.500, 0.500)
Ru (0.000, 0.000, 0.500)

spin magnetization	0.00	μB per atom
E_form (uncorrected)	1.29	eV per atom

---

Compound: SmScAlRu
Source: Alexandria
Functional: PBE-GGA
Structure: relaxed

Unit cell a=6.890 b=6.890 c=6.890 alpha=90.00 beta=90.00 gamma=90.00
Sites, in units of the cell vectors:
Sm (0.000, 0.000, 0.000)
Sm (0.000, 0.500, 0.500)
Sm (0.500, 0.000, 0.500)
Sm (0.500, 0.500, 0.000)
Sc (0.000, 0.000, 0.500)
Sc (0.000, 0.500, 0.000)
Sc (0.500, 0.000, 0.000)
Sc (0.500, 0.500, 0.500)
Al (0.250, 0.250, 0.250)
Al (0.250, 0.750, 0.750)
Al (0.750, 0.250, 0.750)
Al (0.750, 0.750, 0.250)
Ru (0.250, 0.250, 0.750)
Ru (0.250, 0.750, 0.250)
Ru (0.750, 0.250, 0.250)
Ru (0.750, 0.750, 0.750)

spin magnetization	0.00	μB per atom
calculated formation energy	-0.326	eV/atom

---

Compound: Sc2Al2SnRu5
Source: Alexandria
Functional: PBE-GGA
Structure: relaxed

Unit cell a=9.860 b=9.860 c=3.354 alpha=90.00 beta=90.00 gamma=90.00
Sites, in units of the cell vectors:
Sc (0.171, 0.329, 0.000)
Sc (0.329, 0.829, 0.000)
Sc (0.671, 0.171, 0.000)
Sc (0.829, 0.671, 0.000)
Al (0.127, 0.627, 0.000)
Al (0.373, 0.127, 0.000)
Al (0.627, 0.873, 0.000)
Al (0.873, 0.373, 0.000)
Sn (0.000, 0.000, 0.000)
Sn (0.500, 0.500, 0.000)
Ru (0.000, 0.500, 0.500)
Ru (0.068, 0.796, 0.500)
Ru (0.204, 0.068, 0.500)
Ru (0.296, 0.568, 0.500)
Ru (0.432, 0.296, 0.500)
Ru (0.500, 0.000, 0.500)
Ru (0.568, 0.704, 0.500)
Ru (0.704, 0.432, 0.500)
Ru (0.796, 0.932, 0.500)
Ru (0.932, 0.204, 0.500)

spin magnetization	0.08	μB per atom
calculated formation energy	-0.385	eV/atom

---

Compound: SrSc2AlRu
Source: Alexandria
Functional: PBE-GGA
Structure: relaxed

Unit cell a=5.024 b=5.024 c=5.004 alpha=90.00 beta=90.00 gamma=90.00
Sites, in units of the cell vectors:
Sr (0.000, 0.000, 0.000)
Sc (0.000, 0.500, 0.500)
Sc (0.500, 0.000, 0.500)
Al (0.500, 0.500, 0.000)
Ru (0.500, 0.500, 0.500)

spin magnetization	0.00	μB per atom
calculated formation energy	-0.236	eV/atom

---

Compound: Sc2TaAl2Ru5
Source: Alexandria
Functional: PBE-GGA
Structure: relaxed

Unit cell a=9.906 b=9.906 c=3.268 alpha=90.00 beta=90.00 gamma=90.00
Sites, in units of the cell vectors:
Sc (0.170, 0.330, 0.000)
Sc (0.330, 0.830, 0.000)
Sc (0.670, 0.170, 0.000)
Sc (0.830, 0.670, 0.000)
Ta (0.000, 0.000, 0.000)
Ta (0.500, 0.500, 0.000)
Al (0.128, 0.628, 0.000)
Al (0.372, 0.128, 0.000)
Al (0.628, 0.872, 0.000)
Al (0.872, 0.372, 0.000)
Ru (0.000, 0.500, 0.500)
Ru (0.069, 0.801, 0.500)
Ru (0.199, 0.069, 0.500)
Ru (0.301, 0.569, 0.500)
Ru (0.431, 0.301, 0.500)
Ru (0.500, 0.000, 0.500)
Ru (0.569, 0.699, 0.500)
Ru (0.699, 0.431, 0.500)
Ru (0.801, 0.931, 0.500)
Ru (0.931, 0.199, 0.500)

spin magnetization	0.00	μB per atom
calculated formation energy	-0.478	eV/atom

---

Compound: TbScAlRu
Source: Alexandria
Functional: PBE-GGA
Structure: relaxed

Unit cell a=6.823 b=6.823 c=6.823 alpha=90.00 beta=90.00 gamma=90.00
Sites, in units of the cell vectors:
Tb (0.000, 0.000, 0.000)
Tb (0.000, 0.500, 0.500)
Tb (0.500, 0.000, 0.500)
Tb (0.500, 0.500, 0.000)
Sc (0.000, 0.000, 0.500)
Sc (0.000, 0.500, 0.000)
Sc (0.500, 0.000, 0.000)
Sc (0.500, 0.500, 0.500)
Al (0.250, 0.250, 0.750)
Al (0.250, 0.750, 0.250)
Al (0.750, 0.250, 0.250)
Al (0.750, 0.750, 0.750)
Ru (0.250, 0.250, 0.250)
Ru (0.250, 0.750, 0.750)
Ru (0.750, 0.250, 0.750)
Ru (0.750, 0.750, 0.250)

spin magnetization	0.00	μB per atom
calculated formation energy	-0.391	eV/atom

---

Compound: ScAlTcRu
Source: Alexandria
Functional: PBE-GGA
Structure: relaxed

Unit cell a=6.254 b=6.254 c=6.254 alpha=90.00 beta=90.00 gamma=90.00
Sites, in units of the cell vectors:
Sc (0.000, 0.000, 0.000)
Sc (0.000, 0.500, 0.500)
Sc (0.500, 0.000, 0.500)
Sc (0.500, 0.500, 0.000)
Al (0.000, 0.000, 0.500)
Al (0.000, 0.500, 0.000)
Al (0.500, 0.000, 0.000)
Al (0.500, 0.500, 0.500)
Tc (0.250, 0.250, 0.750)
Tc (0.250, 0.750, 0.250)
Tc (0.750, 0.250, 0.250)
Tc (0.750, 0.750, 0.750)
Ru (0.250, 0.250, 0.250)
Ru (0.250, 0.750, 0.750)
Ru (0.750, 0.250, 0.750)
Ru (0.750, 0.750, 0.250)

spin magnetization	0.00	μB per atom
calculated formation energy	-0.338	eV/atom

---

Compound: Th2ScAl2Ru5
Source: Alexandria
Functional: PBE-GGA
Structure: relaxed

Unit cell a=10.251 b=10.251 c=3.418 alpha=90.00 beta=90.00 gamma=90.00
Sites, in units of the cell vectors:
Th (0.175, 0.325, 0.000)
Th (0.325, 0.825, 0.000)
Th (0.675, 0.175, 0.000)
Th (0.825, 0.675, 0.000)
Sc (0.000, 0.000, 0.000)
Sc (0.500, 0.500, 0.000)
Al (0.123, 0.623, 0.000)
Al (0.377, 0.123, 0.000)
Al (0.623, 0.877, 0.000)
Al (0.877, 0.377, 0.000)
Ru (0.000, 0.500, 0.500)
Ru (0.072, 0.793, 0.500)
Ru (0.207, 0.072, 0.500)
Ru (0.293, 0.572, 0.500)
Ru (0.428, 0.293, 0.500)
Ru (0.500, 0.000, 0.500)
Ru (0.572, 0.707, 0.500)
Ru (0.707, 0.428, 0.500)
Ru (0.793, 0.928, 0.500)
Ru (0.928, 0.207, 0.500)

spin magnetization	0.00	μB per atom
calculated formation energy	-0.486	eV/atom